# 1
VASP calculation (PBE) on SrCaRh2 after structural relaxation.

Lattice parameters (Å, degrees): 3.460 3.460 25.904 90.00 90.00 120.00
Sites, in units of the cell vectors:
Sr1 0.000 0.000 0.000
Sr2 0.333 0.667 0.667
Sr3 0.667 0.333 0.333
Ca1 0.000 0.000 0.500
Ca2 0.333 0.667 0.167
Ca3 0.667 0.333 0.833
Rh1 0.000 0.000 0.247
Rh2 0.000 0.000 0.753
Rh3 0.333 0.667 0.419
Rh4 0.333 0.667 0.914
Rh5 0.667 0.333 0.086
Rh6 0.667 0.333 0.581

Results
E   -4.5267 eV per atom
E_form   7 kJ per mole of atoms
Density of states at the Fermi level   2.6 states/eV/f.u.
Space group   No. 166

# 2
VASP calculation (PBE) on Nd2Te4Pb after structural relaxation.

Lattice parameters (Å, degrees): 16.978 4.547 7.937 90.00 115.85 90.00
Sites, in units of the cell vectors:
Nd1 0.235 0.000 0.222
Nd2 0.265 0.500 0.778
Nd3 0.735 0.500 0.222
Nd4 0.765 0.000 0.778
Te1 0.126 0.500 0.950
Te2 0.139 0.000 0.491
Te3 0.361 0.500 0.509
Te4 0.374 0.000 0.050
Te5 0.626 0.000 0.950
Te6 0.639 0.500 0.491
Te7 0.861 0.000 0.509
Te8 0.874 0.500 0.050
Pb1 0.000 0.500 0.500
Pb2 0.500 0.000 0.500

Results
E   -4.7954 eV per atom
Excess energy over the best structure of this formula in the dataset   0 meV/atom
Raw formation energy   -1.11 eV per atom
Space group   No. 12

# 3
VASP calculation (PBE) on PrCu12Ni6 after structural relaxation.

Lattice parameters (Å, degrees): 6.629 6.629 6.629 103.91 103.91 103.91
Sites, in units of the cell vectors:
Pr1 0.000 0.000 0.000
Cu1 0.112 0.500 0.888
Cu2 0.112 0.888 0.500
Cu3 0.116 0.386 0.386
Cu4 0.386 0.116 0.386
Cu5 0.386 0.386 0.116
Cu6 0.500 0.112 0.888
Cu7 0.500 0.888 0.112
Cu8 0.614 0.614 0.884
Cu9 0.614 0.884 0.614
Cu10 0.884 0.614 0.614
Cu11 0.888 0.112 0.500
Cu12 0.888 0.500 0.112
Ni1 0.291 0.291 0.694
Ni2 0.291 0.694 0.291
Ni3 0.306 0.709 0.709
Ni4 0.694 0.291 0.291
Ni5 0.709 0.306 0.709
Ni6 0.709 0.709 0.306

Results
E   -4.4713 eV per atom
E_form   19 kJ per mole of atoms
Density of states at the Fermi level   12.5 states/eV/f.u.
Space group   No. 166

# 4
VASP calculation (PBE) on K2NaCdHg after structural relaxation.

Lattice parameters (Å, degrees): 6.550 6.550 5.810 90.00 90.00 90.00
Sites, in units of the cell vectors:
K1 0.000 0.500 0.000
K2 0.500 0.000 0.000
Na1 0.000 0.000 0.500
Cd1 0.500 0.500 0.500
Hg1 0.000 0.000 0.000

Results
E   -0.8911 eV per atom
Excess energy over the best structure of this formula in the dataset   110 meV/atom
E_form   5 kJ per mole of atoms
Density of states at the Fermi level   3.9 states/eV/f.u.
Space group   No. 123

# 5
VASP calculation (PBE) on Sc3TcO after structural relaxation.

Lattice parameters (Å, degrees): 5.159 6.012 6.062 115.12 91.19 96.91
Sites, in units of the cell vectors:
Sc1 0.187 0.166 0.281
Sc2 0.283 0.596 0.838
Sc3 0.289 0.745 0.412
Sc4 0.711 0.255 0.588
Sc5 0.717 0.404 0.162
Sc6 0.813 0.834 0.719
Tc1 0.327 0.111 0.845
Tc2 0.673 0.889 0.155
O1 0.000 0.500 0.500
O2 0.500 0.500 0.500

Results
E   -8.1187 eV per atom
Excess energy over the best structure of this formula in the dataset   68 meV/atom
Density of states at the Fermi level   2.1 states/eV/f.u.
Raw formation energy   -1.25 eV per atom
Space group   No. 2

# 6
VASP calculation (PBE) on Tm6GeC2 after structural relaxation.

Lattice parameters (Å, degrees): 6.703 6.703 8.414 120.94 120.94 42.05
Sites, in units of the cell vectors:
Tm1 0.031 0.031 0.199
Tm2 0.303 0.303 0.926
Tm3 0.343 0.343 0.419
Tm4 0.657 0.657 0.581
Tm5 0.697 0.697 0.074
Tm6 0.969 0.969 0.801
Ge1 0.000 0.000 0.500
C1 0.182 0.182 0.092
C2 0.818 0.818 0.908

Results
E   -5.8543 eV per atom
E_form   -30 kJ per mole of atoms
Density of states at the Fermi level   7.3 states/eV/f.u.
Space group   No. 12

# 7
VASP calculation (PBE) on ZrBr3 after structural relaxation.

Lattice parameters (Å, degrees): 3.480 3.480 33.270 90.00 90.00 120.00
Sites, in units of the cell vectors:
Zr1 0.000 0.000 0.000
Zr2 0.333 0.667 0.667
Zr3 0.667 0.333 0.333
Br1 0.000 0.000 0.390
Br2 0.000 0.000 0.500
Br3 0.000 0.000 0.610
Br4 0.333 0.667 0.057
Br5 0.333 0.667 0.167
Br6 0.333 0.667 0.276
Br7 0.667 0.333 0.724
Br8 0.667 0.333 0.833
Br9 0.667 0.333 0.943

Results
E   -4.1762 eV per atom
Density of states at the Fermi level   2.8 states/eV/f.u.
Raw formation energy   -0.78 eV per atom
Space group   No. 166

# 8
VASP calculation (PBE) on AlHSe2 after structural relaxation.

Lattice parameters (Å, degrees): 10.816 3.613 9.716 90.00 90.00 90.00
Sites, in units of the cell vectors:
Al1 0.044 0.250 0.126
Al2 0.456 0.750 0.626
Al3 0.544 0.250 0.374
Al4 0.956 0.750 0.874
H1 0.138 0.750 0.357
H2 0.362 0.250 0.857
H3 0.638 0.750 0.143
H4 0.862 0.250 0.643
Se1 0.007 0.750 0.309
Se2 0.157 0.750 0.990
Se3 0.343 0.250 0.490
Se4 0.493 0.250 0.809
Se5 0.507 0.750 0.191
Se6 0.657 0.750 0.510
Se7 0.843 0.250 0.010
Se8 0.993 0.250 0.691

Results
E   -4.0216 eV per atom
Excess energy over the best structure of this formula in the dataset   43 meV/atom
Density of states at the Fermi level   0.0 states/eV/f.u.
Space group   No. 62

# 9
VASP calculation (PBE) on KAuBr2 after structural relaxation.

Lattice parameters (Å, degrees): 3.765 3.765 7.649 90.00 90.00 90.00
Sites, in units of the cell vectors:
K1 0.000 0.000 0.000
Au1 0.000 0.000 0.500
Br1 0.500 0.500 0.270
Br2 0.500 0.500 0.730

Results
E   -2.4688 eV per atom
Excess energy over the best structure of this formula in the dataset   391 meV/atom
Raw formation energy   -0.54 eV per atom
Space group   No. 123

# 10
VASP calculation (PBE) on Tm7Mg2Ni2 after structural relaxation.

Lattice parameters (Å, degrees): 6.700 6.700 7.045 90.00 90.00 109.28
Sites, in units of the cell vectors:
Tm1 0.000 0.000 0.000
Tm2 0.000 0.500 0.243
Tm3 0.000 0.500 0.757
Tm4 0.500 0.000 0.243
Tm5 0.500 0.000 0.757
Tm6 0.500 0.500 0.232
Tm7 0.500 0.500 0.768
Mg1 0.175 0.175 0.500
Mg2 0.825 0.825 0.500
Ni1 0.294 0.706 0.000
Ni2 0.706 0.294 0.000

Results
E   -4.2359 eV per atom
E_form   -5 kJ per mole of atoms
Density of states at the Fermi level   12.1 states/eV/f.u.
Space group   No. 65

# 11
VASP calculation (PBE) on TiGeSb2 after structural relaxation.

Lattice parameters (Å, degrees): 6.342 6.342 12.623 90.00 90.00 90.00
Sites, in units of the cell vectors:
Ti1 0.000 0.000 0.000
Ti2 0.000 0.500 0.250
Ti3 0.500 0.000 0.750
Ti4 0.500 0.500 0.500
Ge1 0.000 0.000 0.500
Ge2 0.000 0.500 0.750
Ge3 0.500 0.000 0.250
Ge4 0.500 0.500 0.000
Sb1 0.240 0.250 0.125
Sb2 0.250 0.740 0.375
Sb3 0.250 0.760 0.875
Sb4 0.260 0.250 0.625
Sb5 0.740 0.750 0.625
Sb6 0.750 0.240 0.875
Sb7 0.750 0.260 0.375
Sb8 0.760 0.750 0.125

Results
E   -5.0132 eV per atom
Density of states at the Fermi level   1.3 states/eV/f.u.
Raw formation energy   0.18 eV per atom
Space group   No. 122

# 12
VASP calculation (PBE) on YNbAl2 after structural relaxation.

Lattice parameters (Å, degrees): 6.822 6.822 6.822 90.00 90.00 90.00
Sites, in units of the cell vectors:
Y1 0.000 0.000 0.000
Y2 0.000 0.500 0.500
Y3 0.500 0.000 0.500
Y4 0.500 0.500 0.000
Nb1 0.000 0.000 0.500
Nb2 0.000 0.500 0.000
Nb3 0.500 0.000 0.000
Nb4 0.500 0.500 0.500
Al1 0.250 0.250 0.250
Al2 0.250 0.250 0.750
Al3 0.250 0.750 0.250
Al4 0.250 0.750 0.750
Al5 0.750 0.250 0.250
Al6 0.750 0.250 0.750
Al7 0.750 0.750 0.250
Al8 0.750 0.750 0.750

Results
E   -6.1285 eV per atom
Excess energy over the best structure of this formula in the dataset   142 meV/atom
E_form   -12 kJ per mole of atoms
Density of states at the Fermi level   3.8 states/eV/f.u.
Space group   No. 225

# 13
VASP calculation (PBE) on Pr3Nd7Y after structural relaxation.

Lattice parameters (Å, degrees): 7.287 7.287 8.878 90.00 90.00 120.00
Sites, in units of the cell vectors:
Pr1 0.000 0.500 0.000
Pr2 0.500 0.000 0.000
Pr3 0.500 0.500 0.000
Nd1 0.167 0.334 0.334
Nd2 0.167 0.833 0.334
Nd3 0.334 0.167 0.668
Nd4 0.666 0.833 0.334
Nd5 0.667 0.333 0.341
Nd6 0.833 0.167 0.668
Nd7 0.833 0.666 0.668
Y1 0.333 0.667 0.660

Results
E   -4.7635 eV per atom
Excess energy over the best structure of this formula in the dataset   0 meV/atom
E_form   16 kJ per mole of atoms
Density of states at the Fermi level   16.6 states/eV/f.u.
Space group   No. 156

# 14
VASP calculation (PBE) on Al2Mo after structural relaxation.

Lattice parameters (Å, degrees): 5.020 5.020 5.020 60.00 60.00 60.00
Sites, in units of the cell vectors:
Al1 0.000 0.000 0.000
Al2 0.000 0.000 0.500
Al3 0.000 0.500 0.000
Al4 0.500 0.000 0.000
Mo1 0.375 0.375 0.375
Mo2 0.625 0.625 0.625

Results
E   -6.1041 eV per atom
E_form   0 kJ per mole of atoms
Density of states at the Fermi level   2.7 states/eV/f.u.
Space group   No. 227

# 15
VASP calculation (PBE) on TaW2Au after structural relaxation.

Lattice parameters (Å, degrees): 3.319 3.319 6.177 90.00 90.00 90.00
Sites, in units of the cell vectors:
Ta1 0.000 0.000 0.000
W1 0.000 0.000 0.475
W2 0.500 0.500 0.249
Au1 0.500 0.500 0.745

Results
E   -10.1070 eV per atom
Excess energy over the best structure of this formula in the dataset   54 meV/atom
E_form   15 kJ per mole of atoms
Density of states at the Fermi level   2.5 states/eV/f.u.
Space group   No. 99

# 16
VASP calculation (PBE) on LaInHg4 after structural relaxation.

Lattice parameters (Å, degrees): 8.165 8.165 8.242 90.00 90.00 142.08
Sites, in units of the cell vectors:
La1 0.132 0.868 0.750
La2 0.868 0.132 0.250
In1 0.356 0.644 0.750
In2 0.644 0.356 0.250
Hg1 0.071 0.929 0.250
Hg2 0.277 0.723 0.074
Hg3 0.277 0.723 0.426
Hg4 0.500 0.500 0.000
Hg5 0.500 0.500 0.500
Hg6 0.723 0.277 0.574
Hg7 0.723 0.277 0.926
Hg8 0.929 0.071 0.750

Results
E   -1.6412 eV per atom
Excess energy over the best structure of this formula in the dataset   139 meV/atom
E_form   -16 kJ per mole of atoms
Density of states at the Fermi level   3.1 states/eV/f.u.
Space group   No. 63

# 17
VASP calculation (PBE) on NdTmO after structural relaxation.

Lattice parameters (Å, degrees): 3.537 3.537 5.996 90.00 90.00 120.00
Sites, in units of the cell vectors:
Nd1 0.000 0.000 0.000
Tm1 0.333 0.667 0.466
O1 0.667 0.333 0.285

Results
E   -6.4936 eV per atom
Excess energy over the best structure of this formula in the dataset   43 meV/atom
Density of states at the Fermi level   1.5 states/eV/f.u.
Raw formation energy   -1.76 eV per atom
Space group   No. 156

# 18
VASP calculation (PBE) on KNaLi2H after structural relaxation.

Lattice parameters (Å, degrees): 4.693 4.693 5.704 90.00 90.00 90.00
Sites, in units of the cell vectors:
K1 0.000 0.000 0.000
Na1 0.500 0.500 0.000
Li1 0.000 0.500 0.500
Li2 0.500 0.000 0.500
H1 0.000 0.000 0.500

Results
E   -1.8164 eV per atom
Density of states at the Fermi level   2.2 states/eV/f.u.
Space group   No. 123

# 19
VASP calculation (PBE) on Ac3MgBe2O8 after structural relaxation.

Lattice parameters (Å, degrees): 5.428 5.428 6.992 90.00 90.00 120.00
Sites, in units of the cell vectors:
Ac1 0.000 0.000 0.000
Ac2 0.333 0.667 0.656
Ac3 0.667 0.333 0.344
Mg1 0.000 0.000 0.500
Be1 0.333 0.667 0.218
Be2 0.667 0.333 0.782
O1 0.172 0.343 0.315
O2 0.172 0.828 0.315
O3 0.333 0.667 0.991
O4 0.343 0.172 0.685
O5 0.657 0.828 0.315
O6 0.667 0.333 0.009
O7 0.828 0.172 0.685
O8 0.828 0.657 0.685

Results
E   -7.2476 eV per atom
Density of states at the Fermi level   10.2 states/eV/f.u.
Raw formation energy   -2.89 eV per atom
Space group   No. 164

# 20
VASP calculation (PBE) on WBr3 after structural relaxation.

Lattice parameters (Å, degrees): 3.165 3.165 37.079 90.00 90.00 120.00
Sites, in units of the cell vectors:
W1 0.000 0.000 0.000
W2 0.333 0.667 0.667
W3 0.667 0.333 0.333
Br1 0.000 0.000 0.065
Br2 0.000 0.000 0.500
Br3 0.000 0.000 0.935
Br4 0.333 0.667 0.167
Br5 0.333 0.667 0.602
Br6 0.333 0.667 0.731
Br7 0.667 0.333 0.269
Br8 0.667 0.333 0.398
Br9 0.667 0.333 0.833

Results
E   -3.9906 eV per atom
Excess energy over the best structure of this formula in the dataset   598 meV/atom
Density of states at the Fermi level   5.7 states/eV/f.u.
Raw formation energy   0.50 eV per atom
Space group   No. 166